(1)
First-principles (PBE) data for an optimized crystal structure of Ni2HAu2, as listed in Alexandria.

```
10
Lattice="5.2515 0.0000 0.0000 0.0000 5.2515 0.0000 0.0000 0.0000 4.6484" Properties=species:S:1:pos:R:3 pbc="T T T"
Ni 1.7335 4.3592 0.0000
Ni 4.3592 3.5180 0.0000
Ni 3.5180 0.8923 0.0000
Ni 0.8923 1.7335 0.0000
Au 0.9421 3.5678 2.3242
Au 3.5678 4.3094 2.3242
Au 4.3094 1.6837 2.3242
Au 1.6837 0.9421 2.3242
H 0.0000 0.0000 0.0000
H 2.6257 2.6257 0.0000
```

Computed properties:
M_tot	0.0446	μB/atom
symmetry	P4/mbm (127)
total energy	-40.51	eV/cell
polymorph energy (0 for the lowest one)	0	kJ/mol of formula units

---

(2)
First-principles (PBE) data for an optimized crystal structure of NiH2Au, as listed in Alexandria.

```
4
Lattice="0.0000 2.6194 2.6194 2.6194 0.0000 2.6194 2.6194 2.6194 0.0000" Properties=species:S:1:pos:R:3 pbc="T T T"
Ni 0.0000 0.0000 0.0000
Au 2.6194 2.6194 2.6194
H 1.3097 1.3097 1.3097
H 3.9291 3.9291 3.9291
```

Computed properties:
M_tot	0.0000	μB/atom
symmetry	Fm-3m (225)
total energy	-13.48	eV/cell
polymorph energy (0 for the lowest one)	188	kJ/mol of formula units

---

(3)
First-principles (PBE) data for an optimized crystal structure of NiH2Au, as listed in Alexandria.

```
4
Lattice="2.8283 0.0000 0.0000 1.4141 2.4494 0.0000 1.4141 0.8165 5.1889" Properties=species:S:1:pos:R:3 pbc="T T T"
Ni 2.8283 1.6329 2.5944
Au 0.0000 0.0000 0.0000
H 1.4141 0.8165 3.2242
H 4.2424 2.4494 1.9647
```

Computed properties:
M_tot	0.0000	μB/atom
symmetry	R-3m (166)
total energy	-15.42	eV/cell
polymorph energy (0 for the lowest one)	0	kJ/mol of formula units

---

(4)
First-principles (PBE) data for an optimized crystal structure of NiHAu, as listed in Alexandria.

```
3
Lattice="-2.9660 1.8727 -0.7266 -1.0200 -0.2877 3.4218 3.4215 1.7171 -0.7108" Properties=species:S:1:pos:R:3 pbc="T T T"
Ni -1.8288 1.0808 1.4208
Au -0.5840 3.2677 1.9757
H 0.8553 1.5026 0.3813
```

Computed properties:
M_tot	0.0000	μB/atom
symmetry	I4mm (107)
total energy	-11.06	eV/cell
polymorph energy (0 for the lowest one)	134	kJ/mol of formula units

---

(5)
First-principles (PBE) data for an optimized crystal structure of NiHAu, as listed in Alexandria.

```
12
Lattice="5.5228 0.0701 0.1341 -1.9827 5.1727 0.2014 1.5574 2.4556 4.6977" Properties=species:S:1:pos:R:3 pbc="T T T"
Ni -0.2237 5.3211 3.0113
Ni 3.3781 1.7659 1.0572
Ni 4.1568 3.0779 3.3621
Ni 2.5377 5.4403 3.0344
Au 1.5090 2.9458 2.6462
Au 2.3294 4.2784 0.3484
Au 0.7302 1.2535 0.5401
Au -0.4320 3.7788 0.5242
H 4.4837 1.8445 2.2972
H 5.2624 4.0512 4.1344
H 3.9190 4.5830 2.6890
H 1.1576 5.5268 2.1103
```

Computed properties:
M_tot	0.0000	μB/atom
symmetry	Fdd2 (43)
total energy	-48.64	eV/cell
polymorph energy (0 for the lowest one)	27	kJ/mol of formula units

---

(6)
First-principles (PBE) data for an optimized crystal structure of Ni2HAu2, as listed in Alexandria.

```
5
Lattice="-0.0826 -3.1645 0.4216 2.7412 -0.2864 -1.6132 4.9142 -1.0240 5.3713" Properties=species:S:1:pos:R:3 pbc="T T T"
Ni 3.0805 -2.9570 2.5986
Ni 4.4924 -1.5180 1.5812
Au 2.0215 -1.5900 0.5564
Au 5.5513 -2.8849 3.6233
H 0.0000 0.0000 0.0000
```

Computed properties:
M_tot	0.2034	μB/atom
symmetry	I4/mmm (139)
total energy	-18.12	eV/cell
polymorph energy (0 for the lowest one)	206	kJ/mol of formula units

---

(7)
First-principles (PBE) data for an optimized crystal structure of NiH2Au2, as listed in Alexandria.

```
5
Lattice="-2.2770 -0.6918 1.5379 -0.0014 -2.3755 1.5444 2.0595 2.8118 7.3241" Properties=species:S:1:pos:R:3 pbc="T T T"
Ni 0.0000 0.0000 0.0000
H -0.5524 -0.7408 1.4760
H 0.3334 0.4853 8.9303
Au 0.7172 0.9915 5.7023
Au -0.9362 -1.2470 4.7041
```

Computed properties:
M_tot	0.0000	μB/atom
symmetry	C2/m (12)
total energy	-18.56	eV/cell
polymorph energy (0 for the lowest one)	0	kJ/mol of formula units

---

(8)
First-principles (PBE) data for an optimized crystal structure of NiH2Au2, as listed in Alexandria.

```
5
Lattice="3.0904 0.0000 0.0000 0.0000 3.0904 0.0000 1.5452 1.5452 5.7994" Properties=species:S:1:pos:R:3 pbc="T T T"
Ni 0.0000 0.0000 0.0000
Au 1.5452 1.5452 1.5853
Au 3.0904 3.0904 4.2141
H 3.0904 1.5452 2.8997
H 1.5452 3.0904 2.8997
```

Computed properties:
M_tot	0.0000	μB/atom
symmetry	I4/mmm (139)
total energy	-17.03	eV/cell
polymorph energy (0 for the lowest one)	148	kJ/mol of formula units

---

(9)
First-principles (PBE) data for an optimized crystal structure of Ni2HAu, as listed in Alexandria.

```
4
Lattice="-1.6565 1.2251 -1.8459 0.0355 -0.8128 -2.6439 -5.1190 -4.1570 -0.2379" Properties=species:S:1:pos:R:3 pbc="T T T"
Ni -1.2433 -0.5219 -1.3034
Ni -5.4967 -3.2228 -3.4243
Au -3.3700 -1.8724 -2.3638
H 0.0000 0.0000 0.0000
```

Computed properties:
M_tot	0.1060	μB/atom
symmetry	R-3m (166)
total energy	-17.91	eV/cell
polymorph energy (0 for the lowest one)	0	kJ/mol of formula units

---

(10)
First-principles (PBE) data for an optimized crystal structure of Ni5H12Au3, as listed in Alexandria.

```
80
Lattice="-4.1564 0.9276 8.2988 -6.0165 -3.6960 -6.0949 7.4093 -5.6035 0.8424" Properties=species:S:1:pos:R:3 pbc="T T T"
Au -4.4473 -1.3908 4.0439
Au -7.2230 -2.6608 2.7956
Au -1.4402 -5.9263 -0.9326
Au 0.9873 -2.3314 1.6288
Au -2.5365 -1.0512 6.7102
Au -3.4666 -3.3630 -0.4866
Au 0.7031 -5.0089 3.5330
Au -0.2270 -7.3207 -3.6638
Au -3.7509 -6.0405 1.4176
Au -1.3234 -2.4456 3.9790
Au 4.4595 -5.7111 0.2508
Au 1.6837 -6.9811 -0.9975
Ni -0.9234 -2.6709 -1.0376
Ni -3.0082 -1.8480 -3.0474
Ni 0.0000 0.0000 0.0000
Ni -2.1366 -1.2766 1.6936
Ni 1.6265 -2.3379 4.5706
Ni -5.0864 -1.3842 1.1020
Ni -2.2534 -4.7574 -3.2179
Ni 2.6138 -4.6694 6.1994
Ni -4.0991 -3.7156 2.7307
Ni 3.2463 -4.3168 2.9820
Ni -6.0098 -4.0551 0.0644
Ni -1.3818 -4.1860 1.5232
Ni -2.0782 0.4638 4.1494
Ni 3.7047 -2.8017 0.4212
Ni 1.3355 -4.6563 0.3156
Ni -5.3774 -3.7026 -3.1530
Ni 0.6964 -4.6497 -2.6262
Ni -0.5101 -3.6145 6.2643
Ni -0.6269 -7.0953 1.3527
Ni -1.8401 -5.7010 4.0840
H 3.6420 -5.2457 5.0047
H -1.8055 -3.0548 0.3376
H 0.4973 -3.4775 -1.4218
H -1.4802 -0.7651 3.1511
H -0.7033 -5.5305 0.7509
H -3.1859 -3.4256 -3.6342
H -2.8366 -5.9497 -2.1909
H 0.0456 -0.7071 1.5370
H 1.7065 -3.2750 5.9778
H -4.1503 -2.0883 2.3237
H -4.3616 -3.2481 4.3210
H -1.3273 -7.5050 2.8218
H -0.9374 -4.6184 -2.1857
H 3.8395 -6.2364 1.9459
H -6.2101 -4.1083 3.4380
H 2.0993 -3.9037 4.1355
H -4.2088 -0.3131 7.1489
H -4.8652 -3.0184 0.7213
H -0.7582 -1.5257 7.0924
H -2.3330 -2.9107 -1.9163
H 4.7731 -4.8597 3.4187
H -2.7971 -4.6855 2.3053
H -5.0873 -4.8407 1.9729
H -5.5099 -0.5845 5.3684
H 0.0336 -3.6864 0.7410
H 2.3237 -3.5312 1.0735
H 2.7464 -7.7874 -2.3220
H -2.0054 -6.8462 -4.0460
H -7.5367 -3.5122 -0.3723
H -0.4305 -5.4613 4.9627
H 2.1016 -5.3535 2.3251
H -4.8628 -4.4682 -1.0891
H 1.4453 -8.0588 -4.1025
H 3.4465 -4.2637 -0.3916
H -1.8261 -3.7535 5.2320
H -1.4362 -0.8669 0.2246
H -6.6031 -2.1355 1.1005
H -4.4700 -5.0969 -2.9314
H 1.3868 -6.2836 0.7227
H 1.5981 -5.1238 -1.2747
H -2.8091 -7.6648 1.5093
H 0.0731 -2.4222 5.2372
H -1.2834 -7.6068 -0.1047
H 0.4224 -4.9464 6.6806
H -2.0602 -2.8414 2.2955
H -3.2609 -4.8944 4.4681
H -0.9581 -5.3171 2.7088
H -6.4055 -3.1262 -1.9583
```

Computed properties:
M_tot	0.0000	μB/atom
symmetry	Ia-3d (230)
total energy	-299.60	eV/cell

---

(11)
First-principles (PBE) data for an optimized crystal structure of Ni2HAu, as listed in Alexandria.

```
4
Lattice="2.0210 -1.0984 3.3818 -1.7009 -2.6221 2.6380 1.4829 -3.7952 0.3543" Properties=species:S:1:pos:R:3 pbc="T T T"
Ni 0.4507 -1.8789 1.5935
Ni 1.3522 -5.6368 4.7806
Au 0.9015 -3.7579 3.1871
H 0.0000 0.0000 0.0000
```

Computed properties:
M_tot	0.0000	μB/atom
symmetry	Fm-3m (225)
total energy	-15.64	eV/cell
polymorph energy (0 for the lowest one)	219	kJ/mol of formula units

---

(12)
First-principles (PBE) data for an optimized crystal structure of Ni12H5Au3, as listed in Alexandria.

```
80
Lattice="10.3701 0.0000 0.0000 -3.4567 9.7770 0.0000 -3.4567 -4.8885 8.4672" Properties=species:S:1:pos:R:3 pbc="T T T"
Au 6.0492 3.0553 1.0584
Au 6.0492 6.7217 1.0584
Au -0.8642 4.2775 5.2920
Au 0.8642 -0.6111 3.1752
Au 7.7776 0.0000 2.1168
Au 0.8642 4.8885 2.1168
Au 2.5925 0.0000 6.3504
Au -4.3209 4.8885 6.3504
Au 2.5925 5.4996 5.2920
Au 4.3209 0.6111 3.1752
Au -2.5925 -1.8332 7.4088
Au -2.5925 1.8332 7.4088
H -0.8642 2.4443 2.1168
H -1.7284 4.8885 0.0000
H 0.0000 0.0000 0.0000
H 2.5925 1.8332 1.0584
H 3.4567 -2.4443 4.2336
H 3.4567 4.8885 0.0000
H -2.5925 5.4996 3.1752
H 4.3209 -3.0553 7.4088
H 4.3209 4.2775 3.1752
H 0.8642 -2.4443 6.3504
H 2.5925 7.3328 2.1168
H 1.7284 2.4443 4.2336
H 5.1851 0.0000 0.0000
H -1.7284 -2.4443 4.2336
H -0.8642 0.6111 5.2920
H -0.8642 7.9438 1.0584
H -3.4567 2.4443 4.2336
H 6.0492 -0.6111 5.2920
H 0.8642 3.0553 7.4088
H 4.3209 2.4443 6.3504
Ni 3.3779 -4.0052 8.3722
Ni 0.0788 2.8037 3.4211
Ni -2.4129 2.5131 2.6792
Ni 4.1413 1.3806 0.7175
Ni 1.4454 3.2869 5.8829
Ni -2.6171 4.8744 1.6493
Ni -1.0438 6.0211 3.3967
Ni -2.4129 8.3964 0.7175
Ni 3.7397 -3.2869 5.8829
Ni 4.3455 4.9026 1.6493
Ni 5.2638 2.9681 3.5160
Ni 1.8071 4.0052 8.3722
Ni -3.1737 4.2939 4.1387
Ni 2.5679 3.4672 0.8369
Ni -3.5355 6.8089 3.5160
Ni 1.8071 -2.0848 5.0460
Ni -0.2830 1.0070 1.5544
Ni 2.5679 6.3239 0.8125
Ni 4.1413 7.2639 2.6792
Ni -0.8396 3.4531 0.8125
Ni 1.4454 -3.8815 6.9128
Ni 2.7721 3.7560 3.3967
Ni 4.9021 5.4831 4.1387
Ni 4.2963 -1.4213 7.6303
Ni 0.6846 1.1325 5.0704
Ni -1.4454 -0.5946 4.3285
Ni -0.8396 6.3098 0.8369
Ni -0.6846 -2.3754 5.7880
Ni 2.0113 8.7700 1.5544
Ni 4.2963 1.4354 7.6547
Ni 0.8888 -1.4354 7.6547
Ni 1.6496 6.9733 3.4211
Ni 3.7397 3.8815 6.9128
Ni 6.9922 -1.9204 4.9511
Ni 6.6304 0.5946 4.3285
Ni 1.6496 0.8833 0.0949
Ni 0.8888 1.4213 7.6303
Ni -0.2830 8.1754 2.5843
Ni -0.8888 -0.0141 6.8178
Ni -1.8071 1.9204 4.9511
Ni 5.8696 -3.5079 7.7496
Ni 4.5005 -1.1326 5.0704
Ni -0.6846 3.5079 7.7496
Ni 6.0738 0.0141 6.8178
Ni 2.0113 1.6016 2.5843
Ni 5.8696 2.3754 5.7880
Ni 3.3779 2.0848 5.0460
Ni 0.0788 8.8937 0.0949
```

Computed properties:
M_tot	0.2087	μB/atom
symmetry	Ia-3d (230)
total energy	-366.40	eV/cell

---

(13)
First-principles (PBE) data for an optimized crystal structure of NiHAu2, as listed in Alexandria.

```
12
Lattice="-1.9408 2.1211 -0.2455 1.1625 -1.1729 -2.3663 -15.3483 -14.1067 -0.5478" Properties=species:S:1:pos:R:3 pbc="T T T"
Ni -5.4038 -4.9667 -0.1929
Ni -0.1597 -0.3393 -1.6696
Ni -11.4263 -8.6458 -1.3279
H -10.4976 -9.6484 -0.3747
H -5.2535 -5.0211 -1.8514
H -1.1718 0.7792 -0.9619
Au -1.9310 -1.7748 -0.0689
Au -12.0352 -11.2542 -2.0935
Au -7.9535 -5.4539 -1.2039
Au -13.9754 -12.8448 -0.4988
Au -8.7312 -8.2175 -1.9756
Au -4.6495 -2.4172 -1.0860
```

Computed properties:
M_tot	0.0000	μB/atom
symmetry	R3m (160)
total energy	-46.53	eV/cell
polymorph energy (0 for the lowest one)	0	kJ/mol of formula units

---

(14)
First-principles (PBE) data for an optimized crystal structure of Ni2HAu, as listed in Alexandria.

```
4
Lattice="-0.4695 -1.2577 -2.2678 -1.9168 -1.3840 1.1643 -4.2152 4.4815 -1.6127" Properties=species:S:1:pos:R:3 pbc="T T T"
Ni -3.4568 3.6752 -1.3225
Ni -0.7585 0.8064 -0.2902
Au -3.3008 0.9200 -1.3581
H -1.1932 -1.3208 -0.5518
```

Computed properties:
M_tot	0.1918	μB/atom
symmetry	P4/mmm (123)
total energy	-16.83	eV/cell
polymorph energy (0 for the lowest one)	104	kJ/mol of formula units

---

(15)
First-principles (PBE) data for an optimized crystal structure of NiHAu2, as listed in Alexandria.

```
4
Lattice="-1.6644 2.2010 0.8773 -1.0549 -2.6965 -0.0148 2.2274 -0.9070 6.5012" Properties=species:S:1:pos:R:3 pbc="T T T"
Ni 0.1440 -0.0586 0.4202
H -1.3751 0.5334 0.8314
Au -0.4110 -1.4090 2.7550
Au 0.1728 -0.0969 5.3493
```

Computed properties:
M_tot	0.0000	μB/atom
symmetry	P3m1 (156)
total energy	-15.50	eV/cell
polymorph energy (0 for the lowest one)	1	kJ/mol of formula units

---

(16)
First-principles (PBE) data for an optimized crystal structure of Ni2HAu, as listed in Alexandria.

```
4
Lattice="-0.6366 2.6860 0.1590 -1.5312 1.1774 -1.9785 -6.0497 -0.1675 2.6504" Properties=species:S:1:pos:R:3 pbc="T T T"
Ni -5.2471 0.0518 2.1597
Ni -1.5448 1.0632 -0.1038
H -7.4724 2.4143 1.4236
Au -4.1117 1.8472 0.4172
```

Computed properties:
M_tot	0.0693	μB/atom
symmetry	R3m (160)
total energy	-17.91	eV/cell
polymorph energy (0 for the lowest one)	0	kJ/mol of formula units

---

(17)
First-principles (PBE) data for an optimized crystal structure of NiH2Au2, as listed in Alexandria.

```
10
Lattice="5.5912 0.0000 0.0000 0.0000 5.5912 0.0000 0.0000 0.0000 3.7782" Properties=species:S:1:pos:R:3 pbc="T T T"
Ni 0.0000 0.0000 0.0000
Ni 2.7956 2.7956 0.0000
Au 1.3956 4.1912 1.8891
Au 4.1912 4.1957 1.8891
Au 4.1957 1.4001 1.8891
Au 1.4001 1.3956 1.8891
H 1.3956 4.1912 0.0000
H 4.1912 4.1957 0.0000
H 4.1957 1.4000 0.0000
H 1.4000 1.3956 0.0000
```

Computed properties:
M_tot	0.0000	μB/atom
symmetry	P4/mmm (123)
total energy	-36.74	eV/cell
polymorph energy (0 for the lowest one)	18	kJ/mol of formula units

---

(18)
First-principles (PBE) data for an optimized crystal structure of NiHAu2, as listed in Alexandria.

```
4
Lattice="-1.3256 -0.1768 -3.6361 -0.3545 -2.8459 0.2855 -3.3837 2.1726 3.1459" Properties=species:S:1:pos:R:3 pbc="T T T"
Ni -3.6481 -0.2906 0.5091
H -4.1813 1.2444 0.5857
Au -2.9124 0.8527 -1.8831
Au -0.9037 -0.7215 -0.4588
```

Computed properties:
M_tot	0.0000	μB/atom
symmetry	P1 (1)
total energy	-15.25	eV/cell
polymorph energy (0 for the lowest one)	25	kJ/mol of formula units

---

(19)
First-principles (PBE) data for an optimized crystal structure of NiHAu2, as listed in Alexandria.

```
4
Lattice="0.0000 3.0011 3.0011 3.0011 0.0000 3.0011 3.0011 3.0011 0.0000" Properties=species:S:1:pos:R:3 pbc="T T T"
Ni 3.0011 3.0011 3.0011
Au 1.5005 1.5005 1.5005
Au 4.5016 4.5016 4.5016
H 0.0000 0.0000 0.0000
```

Computed properties:
M_tot	0.0000	μB/atom
symmetry	Fm-3m (225)
total energy	-13.31	eV/cell
polymorph energy (0 for the lowest one)	212	kJ/mol of formula units